[1]
# KAl2Br

An optimized crystal structure of KAl2Br (PBE, Alexandria via LeMat-Bulk). Values from VASP.

Results
Its total energy is -2.50 eV per atom. As for the energy above the lowest structure with this stoichiometry: 360.5 meV per atom. The energy relative to the elements, uncorrected is 1.566 kcal/mol of atoms. As for the space group: Cmmm. The calculation puts the total magnetic moment at 0.00 μB/cell. As for the calculated volume: 29.1 A^3/atom.

```
&SYSTEM
  ibrav = 0, nat = 4, ntyp = 3
/
ATOMIC_SPECIES
Al 26.98 Al.upf
K 39.10 K.upf
Br 79.90 Br.upf
CELL_PARAMETERS angstrom
-2.6857 0.8598 -5.9112
-3.0608 -2.1117 5.3913
-0.7658 3.1786 0.8102
ATOMIC_POSITIONS crystal
Al 0.5000 0.5000 0.0000
Al 0.0000 0.0000 0.0000
K 0.0000 0.5000 0.5000
Br 0.5000 0.0000 0.5000
```

[2]
# K2LiAlBr6

An optimized crystal structure of K2LiAlBr6 (PBE, Alexandria via LeMat-Bulk). Values from VASP.

Results
Its total energy is -3.23 eV per atom. The energy relative to the elements, uncorrected is -33.167 kcal/mol of atoms. As for the space group: P-3m1. The calculation puts the total magnetic moment at 0.00 μB/cell. As for the calculated volume: 31.3 A^3/atom.

```
&SYSTEM
  ibrav = 0, nat = 10, ntyp = 4
/
ATOMIC_SPECIES
Br 79.90 Br.upf
K 39.10 K.upf
Li 6.94 Li.upf
Al 26.98 Al.upf
CELL_PARAMETERS angstrom
-2.6135 5.8488 1.2996
-3.6881 -2.9256 5.7496
6.8031 2.8186 0.9961
ATOMIC_POSITIONS crystal
Br 0.2276 0.3183 0.1591
Br 0.7724 0.6817 0.8409
Br 0.7724 0.1591 0.3183
Br 0.7724 0.1591 0.8409
K 0.8163 0.6667 0.3333
Br 0.2276 0.8409 0.6817
Li 0.5000 0.0000 0.0000
Al 0.0000 0.0000 0.0000
Br 0.2276 0.8409 0.1591
K 0.1837 0.3333 0.6667
```

[3]
# KMgAlBr6

An optimized crystal structure of KMgAlBr6 (PBE, Alexandria via LeMat-Bulk). Values from VASP.

Results
Its total energy is -3.19 eV per atom. The energy relative to the elements, uncorrected is -31.271 kcal/mol of atoms. As for the space group: P-31c. The calculation puts the total magnetic moment at 0.00 μB/cell. As for the calculated volume: 32.8 A^3/atom.

```
&SYSTEM
  ibrav = 0, nat = 18, ntyp = 4
/
ATOMIC_SPECIES
Mg 24.30 Mg.upf
K 39.10 K.upf
Br 79.90 Br.upf
Al 26.98 Al.upf
CELL_PARAMETERS angstrom
-2.9334 -0.0339 -6.1338
4.7286 -4.6390 1.5326
-10.5061 -9.0327 5.0743
ATOMIC_POSITIONS crystal
Mg 0.3333 0.6667 0.2500
K 0.0000 0.0000 0.0000
Mg 0.6667 0.3333 0.7500
Br 0.9828 0.6218 0.3502
Br 0.0172 0.3782 0.6498
Al 0.6667 0.3333 0.2500
Al 0.3333 0.6667 0.7500
K 0.0000 0.0000 0.5000
Br 0.3610 0.3782 0.8502
Br 0.3782 0.0172 0.1498
Br 0.6390 0.6218 0.1498
Br 0.3610 0.9828 0.6498
Br 0.6218 0.6390 0.6498
Br 0.0172 0.6390 0.8502
Br 0.6218 0.9828 0.8502
Br 0.3782 0.3610 0.3502
Br 0.6390 0.0172 0.3502
Br 0.9828 0.3610 0.1498
```

[4]
# K2NaAlBr6

An optimized crystal structure of K2NaAlBr6 (PBE, Alexandria via LeMat-Bulk). Values from VASP.

Results
Its total energy is -3.16 eV per atom. The energy relative to the elements, uncorrected is -33.067 kcal/mol of atoms. As for the space group: P-3m1. The calculation puts the total magnetic moment at 0.00 μB/cell. As for the calculated volume: 34.9 A^3/atom.

```
&SYSTEM
  ibrav = 0, nat = 10, ntyp = 4
/
ATOMIC_SPECIES
Br 79.90 Br.upf
Al 26.98 Al.upf
K 39.10 K.upf
Na 22.99 Na.upf
CELL_PARAMETERS angstrom
7.1745 0.0000 0.0000
0.0000 7.4960 0.0000
0.0000 -3.7480 6.4917
ATOMIC_POSITIONS crystal
Br 0.2063 0.3182 0.1591
Al 0.0000 0.0000 0.0000
K 0.1492 0.3333 0.6667
Br 0.2063 0.8409 0.1591
Br 0.7937 0.6818 0.8409
Na 0.5000 0.0000 0.0000
K 0.8508 0.6667 0.3333
Br 0.7937 0.1591 0.8409
Br 0.2063 0.8409 0.6818
Br 0.7937 0.1591 0.3182
```

[5]
# KAlBr2O

An optimized crystal structure of KAlBr2O (PBE, Alexandria via LeMat-Bulk). Values from VASP.

Results
Its total energy is -2.88 eV per atom. The energy relative to the elements, uncorrected is -5.842 kcal/mol of atoms. As for the space group: P4/mmm. The calculation puts the total magnetic moment at 1.02 μB/cell. As for the calculated volume: 51.1 A^3/atom.

```
&SYSTEM
  ibrav = 0, nat = 5, ntyp = 4
/
ATOMIC_SPECIES
Br 79.90 Br.upf
K 39.10 K.upf
Al 26.98 Al.upf
O 16.00 O.upf
CELL_PARAMETERS angstrom
5.0368 0.0000 0.0000
0.0000 10.0741 0.0000
0.0000 0.0000 5.0368
ATOMIC_POSITIONS crystal
Br 0.0000 0.0000 0.5000
K 0.0000 0.5000 0.0000
Br 0.5000 0.0000 0.0000
Al 0.0000 0.0000 0.0000
O 0.5000 0.5000 0.5000
```

[6]
# KAl2PbBr

An optimized crystal structure of KAl2PbBr (PBE, Alexandria via LeMat-Bulk). Values from VASP.

Results
Its total energy is -1.69 eV per atom. The energy relative to the elements, uncorrected is 25.531 kcal/mol of atoms. As for the space group: P4/mmm. The calculation puts the total magnetic moment at 0.00 μB/cell. As for the calculated volume: 46.5 A^3/atom.

```
&SYSTEM
  ibrav = 0, nat = 5, ntyp = 4
/
ATOMIC_SPECIES
K 39.10 K.upf
Al 26.98 Al.upf
Pb 207.20 Pb.upf
Br 79.90 Br.upf
CELL_PARAMETERS angstrom
-4.6228 -0.0672 3.8783
1.5121 -5.9647 1.6990
3.6059 2.1491 4.3354
ATOMIC_POSITIONS crystal
K 0.0000 0.0000 0.0000
Al 0.0000 0.0000 0.5000
Pb 0.0000 0.5000 0.0000
Br 0.5000 0.5000 0.5000
Al 0.5000 0.0000 0.0000
```

[7]
# KAl2PdBr

An optimized crystal structure of KAl2PdBr (PBE, Alexandria via LeMat-Bulk). Values from VASP.

Results
Its total energy is -2.62 eV per atom. The energy relative to the elements, uncorrected is 10.928 kcal/mol of atoms. As for the space group: P4/mmm. The calculation puts the total magnetic moment at 0.00 μB/cell. As for the calculated volume: 31.3 A^3/atom.

```
&SYSTEM
  ibrav = 0, nat = 5, ntyp = 4
/
ATOMIC_SPECIES
Al 26.98 Al.upf
Pd 106.42 Pd.upf
Br 79.90 Br.upf
K 39.10 K.upf
CELL_PARAMETERS angstrom
-1.1866 4.9116 -2.5501
-4.6361 -1.4326 -0.6021
-1.3520 2.2718 5.0046
ATOMIC_POSITIONS crystal
Al 0.0000 0.0000 0.5000
Pd 0.0000 0.5000 0.0000
Br 0.0000 0.0000 0.0000
K 0.5000 0.5000 0.5000
Al 0.5000 0.0000 0.0000
```

[8]
# K2AlPdBr

An optimized crystal structure of K2AlPdBr (PBE, Alexandria via LeMat-Bulk). Values from VASP.

Results
Its total energy is -2.46 eV per atom. The energy relative to the elements, uncorrected is 2.316 kcal/mol of atoms. As for the space group: P4/mmm. The calculation puts the total magnetic moment at 0.00 μB/cell. As for the calculated volume: 40.3 A^3/atom.

```
&SYSTEM
  ibrav = 0, nat = 5, ntyp = 4
/
ATOMIC_SPECIES
Al 26.98 Al.upf
Pd 106.42 Pd.upf
Br 79.90 Br.upf
K 39.10 K.upf
CELL_PARAMETERS angstrom
-4.4654 -1.3436 -3.7452
-3.0554 -1.9062 4.3268
-2.3008 5.4648 0.7828
ATOMIC_POSITIONS crystal
Al 0.0000 0.5000 0.0000
Pd 0.5000 0.5000 0.5000
Br 0.0000 0.0000 0.0000
K 0.5000 0.0000 0.0000
K 0.0000 0.0000 0.5000
```

[9]
# KRb2AlBr6

An optimized crystal structure of KRb2AlBr6 (PBE, Alexandria via LeMat-Bulk). Values from VASP.

Results
Its total energy is -3.15 eV per atom. As for the energy above the lowest structure with this stoichiometry: 19.9 meV per atom. The energy relative to the elements, uncorrected is -33.792 kcal/mol of atoms. As for the space group: Fm-3m. The calculation puts the total magnetic moment at 0.00 μB/cell. As for the calculated volume: 36.3 A^3/atom.

```
&SYSTEM
  ibrav = 0, nat = 10, ntyp = 4
/
ATOMIC_SPECIES
Al 26.98 Al.upf
Br 79.90 Br.upf
Rb 85.47 Rb.upf
K 39.10 K.upf
CELL_PARAMETERS angstrom
8.0036 0.0000 0.0000
4.0018 6.9313 0.0000
4.0018 2.3104 6.5349
ATOMIC_POSITIONS crystal
Al 0.0000 0.0000 0.0000
Br 0.2231 0.2231 0.7769
Rb 0.7500 0.7500 0.7500
Br 0.2231 0.7769 0.7769
Br 0.2231 0.7769 0.2231
Br 0.7769 0.2231 0.7769
Rb 0.2500 0.2500 0.2500
Br 0.7769 0.2231 0.2231
Br 0.7769 0.7769 0.2231
K 0.5000 0.5000 0.5000
```

[10]
# KRb2AlBr6

An optimized crystal structure of KRb2AlBr6 (PBE, Alexandria via LeMat-Bulk). Values from VASP.

Results
Its total energy is -3.17 eV per atom. As for the energy above the lowest structure with this stoichiometry: 0.0 meV per atom. The energy relative to the elements, uncorrected is -34.252 kcal/mol of atoms. As for the space group: P-3m1. The calculation puts the total magnetic moment at 0.00 μB/cell. As for the calculated volume: 40.8 A^3/atom.

```
&SYSTEM
  ibrav = 0, nat = 10, ntyp = 4
/
ATOMIC_SPECIES
Rb 85.47 Rb.upf
Al 26.98 Al.upf
Br 79.90 Br.upf
K 39.10 K.upf
CELL_PARAMETERS angstrom
8.0357 0.0000 0.0000
0.0000 7.6596 0.0000
0.0000 -3.8298 6.6334
ATOMIC_POSITIONS crystal
Rb 0.8622 0.6667 0.3333
Al 0.0000 0.0000 0.0000
Br 0.1843 0.3129 0.1565
Br 0.1843 0.8435 0.6871
Br 0.1843 0.8435 0.1565
K 0.5000 0.0000 0.0000
Br 0.8157 0.1565 0.8435
Br 0.8157 0.6871 0.8435
Rb 0.1378 0.3333 0.6667
Br 0.8157 0.1565 0.3129
```

[11]
# KAlSeBr2

An optimized crystal structure of KAlSeBr2 (PBE, Alexandria via LeMat-Bulk). Values from VASP.

Results
Its total energy is -2.23 eV per atom. As for the energy above the lowest structure with this stoichiometry: 1078.4 meV per atom. The energy relative to the elements, uncorrected is 2.400 kcal/mol of atoms. As for the space group: P4/mmm. The calculation puts the total magnetic moment at 2.03 μB/cell. As for the calculated volume: 44.5 A^3/atom.

```
&SYSTEM
  ibrav = 0, nat = 5, ntyp = 4
/
ATOMIC_SPECIES
K 39.10 K.upf
Br 79.90 Br.upf
Al 26.98 Al.upf
Se 78.96 Se.upf
CELL_PARAMETERS angstrom
-1.3082 5.5240 -2.2615
-5.8021 -0.6332 1.8097
1.3680 2.4740 5.2517
ATOMIC_POSITIONS crystal
K 0.0000 0.0000 0.0000
Br 0.0000 0.5000 0.0000
Al 0.5000 0.5000 0.5000
Se 0.0000 0.0000 0.5000
Br 0.5000 0.0000 0.0000
```

[12]
# KAlSe2Br

An optimized crystal structure of KAlSe2Br (PBE, Alexandria via LeMat-Bulk). Values from VASP.

Results
Its total energy is -2.19 eV per atom. As for the energy above the lowest structure with this stoichiometry: 1267.1 meV per atom. The energy relative to the elements, uncorrected is 11.580 kcal/mol of atoms. As for the space group: P4/mmm. The calculation puts the total magnetic moment at 3.00 μB/cell. As for the calculated volume: 43.5 A^3/atom.

```
&SYSTEM
  ibrav = 0, nat = 5, ntyp = 4
/
ATOMIC_SPECIES
Br 79.90 Br.upf
Se 78.96 Se.upf
K 39.10 K.upf
Al 26.98 Al.upf
CELL_PARAMETERS angstrom
-4.6826 -0.9966 -3.6461
3.6333 -2.7249 -3.9213
-1.0045 -5.2680 2.7300
ATOMIC_POSITIONS crystal
Br 0.0000 0.5000 0.0000
Se 0.5000 0.0000 0.0000
K 0.0000 0.0000 0.0000
Al 0.5000 0.5000 0.5000
Se 0.0000 0.0000 0.5000
```

[13]
# KAlSe2Br

An optimized crystal structure of KAlSe2Br (PBE, Alexandria via LeMat-Bulk). Values from VASP.

Results
Its total energy is -3.46 eV per atom. As for the energy above the lowest structure with this stoichiometry: 0.0 meV per atom. The energy relative to the elements, uncorrected is -17.641 kcal/mol of atoms. As for the space group: P4/mmm. The calculation puts the total magnetic moment at 0.00 μB/cell. As for the calculated volume: 27.3 A^3/atom.

```
&SYSTEM
  ibrav = 0, nat = 5, ntyp = 4
/
ATOMIC_SPECIES
K 39.10 K.upf
Se 78.96 Se.upf
Br 79.90 Br.upf
Al 26.98 Al.upf
CELL_PARAMETERS angstrom
-0.7512 0.5892 -4.8024
1.5167 -4.5863 -0.8000
-5.3495 -1.8750 0.6067
ATOMIC_POSITIONS crystal
K 0.5000 0.5000 0.5000
Se 0.0000 0.5000 0.0000
Br 0.0000 0.0000 0.5000
Se 0.5000 0.0000 0.0000
Al 0.0000 0.0000 0.0000
```